1.
Material: SiHg2Br
Method: DFT, PBEsol
State: optimized geometry

abc: 5.481 10.434 3.250
angles: 90.00 90.00 90.00
Space group Cmmm (No. 65)
One atom of each set of equivalent atoms:
Si: 0.000 0.000 0.000 x2
Hg: 0.250 0.250 0.500 x4
Br: 0.000 0.500 0.000 x2

Summary:
E_form (uncorrected) in eV/f.u.: 1.14
Final energy in eV per atom: -1.903

2.
Material: SiHg2Br
Method: DFT, PBEsol
State: optimized geometry

abc: 5.176 3.603 5.927
angles: 90.00 115.64 90.00
Space group P2/m (No. 10)
One atom of each set of equivalent atoms:
Si: 0.000 0.000 0.000 x1
Hg: 0.188 0.500 0.375 x2
Br: 0.500 0.000 0.000 x1

Summary:
E_form (uncorrected) in eV/f.u.: 0.36
Final energy in eV per atom: -2.097

| no. | DOS(E_F) (states/eV per cell) | M_tot (μB/f.u.) | energy above the lowest structure with this stoichiometry (eV per formula unit) |
| --- | --- | --- | --- |
| 1 | 3.16 | 0.00 | 0.78 |
| 2 | 1.29 | 0.00 | 0.00 |